a | Below is crystalline Y4Tc5 at its relaxed geometry, with properties calculated at the GGA-PBE level.

The structure in extended XYZ format:
```
9
Lattice="-5.167 5.167 1.684 5.167 -5.167 1.684 5.167 5.167 -1.684" Properties=species:S:1:pos:R:3 pbc="T T T"
Y 3.119 0.000 0.000
Y 7.214 0.000 0.000
Y 0.000 3.119 0.000
Y 0.000 7.214 0.000
Tc 0.000 0.000 0.000
Tc 3.425 3.425 0.000
Tc 1.742 -1.742 1.684
Tc -1.742 1.742 1.684
Tc 1.742 1.742 1.684
```

N(E_F) = 10.9 states/eV/cell

b | Below is crystalline Y4Tc5 at its relaxed geometry, with properties calculated at the GGA-PBE level.

The structure in extended XYZ format:
```
18
Lattice="8.584 0.000 0.000 -4.292 7.434 0.000 0.000 0.000 5.611" Properties=species:S:1:pos:R:3 pbc="T T T"
Y 0.000 0.000 0.000
Y 0.000 0.000 2.806
Y -1.612 2.792 1.403
Y -2.680 4.643 4.209
Y 3.224 0.000 1.403
Y 1.612 2.792 4.209
Y 5.361 0.000 4.209
Y 2.680 4.643 1.403
Tc -1.318 2.283 4.209
Tc -2.974 5.151 1.403
Tc 2.636 0.000 4.209
Tc 1.318 2.283 1.403
Tc 0.000 4.956 0.000
Tc 0.000 4.956 2.806
Tc 4.292 2.478 0.000
Tc 4.292 2.478 2.806
Tc 5.948 0.000 1.403
Tc 2.974 5.151 4.209
```

N(E_F) = 26.6 states/eV/cell

Most stable of them? a.

a | Below is crystalline Y2Tc3 at its relaxed geometry, with properties calculated at the GGA-PBE level.

The structure in extended XYZ format:
```
5
Lattice="3.419 0.000 0.000 -1.710 2.961 0.000 0.000 0.000 10.522" Properties=species:S:1:pos:R:3 pbc="T T T"
Y 0.000 1.974 3.185
Y 1.710 0.987 7.336
Tc 0.000 0.000 5.261
Tc 0.000 1.974 9.840
Tc 1.710 0.987 0.681
```

N(E_F) = 7.7 states/eV/cell

b | Below is crystalline Y2Tc3 at its relaxed geometry, with properties calculated at the GGA-PBE level.

The structure in extended XYZ format:
```
10
Lattice="0.000 7.294 2.899 5.006 0.000 2.899 5.006 7.294 0.000" Properties=species:S:1:pos:R:3 pbc="T T T"
Y 5.833 4.362 2.899
Y 6.683 8.009 4.348
Y 4.179 10.226 2.899
Y 3.330 6.579 4.348
Tc 1.648 1.810 1.482
Tc 4.152 1.838 2.931
Tc 5.006 7.294 1.447
Tc 3.358 5.485 1.482
Tc 2.503 3.647 2.896
Tc 5.861 12.751 2.931
```

N(E_F) = 9.9 states/eV/cell

Most stable of them? b.